Mg2AuBr | PBE | optimized geometry

Summary:
- Energy: -2.3219 eV per atom
- Relative energy among the computed polymorphs: 0.385 eV/atom
- Calculated volume: 88.06 Å³/f.u.
- SG: Fm-3m (225)
- Mass density: 6.137 g cm⁻³
- Crystal system: cubic

Cell and atoms, written as CIF:
```
data_Mg2AuBr
_space_group_name_H-M_alt 'P 1'
_space_group_IT_number 1
_cell_length_a 4.994
_cell_length_b 4.994
_cell_length_c 4.994
_cell_angle_alpha 60.00
_cell_angle_beta 60.00
_cell_angle_gamma 60.00
loop_
_space_group_symop_operation_xyz
'x,y,z'
loop_
_atom_site_label
_atom_site_fract_x
_atom_site_fract_y
_atom_site_fract_z
_atom_site_occupancy
Mg1 0.250 0.250 0.250 1
Mg2 0.750 0.750 0.750 1
Au1 0.000 0.000 0.000 1
Br1 0.500 0.500 0.500 1
```